Computed, not measured: an optimized crystal structure of KLi2HgGe at the PBE level of DFT.

Cell and atoms, written as POSCAR:
```
KLi2HgGe
1.0
5.1216 0.0000 0.0000
0.0000 5.1216 0.0000
0.0000 0.0000 6.3220
K Li Hg Ge
1 2 1 1
Cartesian
0.0000 0.0000 0.0000 K
0.0000 2.5608 3.1610 Li
2.5608 0.0000 3.1610 Li
2.5608 2.5608 0.0000 Hg
0.0000 0.0000 3.1610 Ge
```

Properties
Symmetry: No. 123

Computed, not measured: an optimized crystal structure of TaBiAs at the PBE level of DFT.

Cell and atoms, written as POSCAR:
```
TaBiAs
1.0
9.6765 0.0000 0.0000
0.0000 9.6765 0.0000
0.0000 0.0000 3.4301
Ta Bi As
4 4 4
Cartesian
2.1290 7.3434 0.0000 Ta
2.3331 2.1290 1.7151 Ta
7.3434 7.5475 1.7151 Ta
7.5475 2.3331 0.0000 Ta
2.3003 4.4582 0.0000 Bi
4.4582 7.3762 1.7151 Bi
5.2183 2.3003 1.7151 Bi
7.3762 5.2183 0.0000 Bi
0.2718 7.3422 1.7151 As
2.3343 0.2718 0.0000 As
7.3422 9.4047 0.0000 As
9.4047 2.3343 1.7151 As
```

Properties
Symmetry: No. 84

Computed, not measured: an optimized crystal structure of DyLuGaFe at the PBE level of DFT.

Cell and atoms, written as POSCAR:
```
DyLuGaFe
1.0
0.0000 3.4462 3.4462
3.4462 0.0000 3.4462
3.4462 3.4462 0.0000
Dy Lu Ga Fe
1 1 1 1
Cartesian
0.0000 0.0000 0.0000 Dy
3.4462 3.4462 3.4462 Lu
1.7231 1.7231 1.7231 Ga
5.1692 5.1692 5.1692 Fe
```

Properties
Symmetry: No. 216

Listing VASP energy for the structures above in their given order: -0.142; -0.486; -0.394 Ry/atom.